The following is a DFT calculation (GGA-PBE) of crystalline TlP2Br at its relaxed geometry.

Cell and atoms, written as POSCAR:
```
TlP2Br
1.0
3.580 0.032 0.000
-1.451 3.273 0.000
0.000 0.000 7.826
Br P Tl
1 2 1
Direct
0.500 0.500 0.750 Br
0.000 0.000 0.012 P
0.000 0.000 0.488 P
0.500 0.500 0.250 Tl
```

Computed properties:
The total magnetization is 0.0001 μB per atom. The calculation puts the density of states at the Fermi level at 3.532 states/eV/f.u. The calculation puts the total energy at -11.8 eV for the cell shown. The calculation puts the formation energy without anion corrections at 0.759 eV/atom.



The following is a DFT calculation (GGA-PBE) of crystalline SrSN3 at its relaxed geometry.

Cell and atoms, written as POSCAR:
```
SrSN3
1.0
-0.366 2.419 2.881
-3.757 -0.086 -0.405
-0.194 -2.903 2.413
Sr S N
1 1 3
Direct
0.500 0.500 0.500 Sr
0.000 0.000 0.000 S
0.000 0.500 0.000 N
0.000 0.000 0.500 N
0.500 0.000 0.000 N
```

Computed properties:
The total magnetization is 0.0000 μB per atom. The calculation puts the density of states at the Fermi level at 3.930 states/eV/f.u. The calculation puts the total energy at -25.9 eV for the cell shown. The calculation puts the formation energy without anion corrections at 0.981 eV/atom.



The following is a DFT calculation (GGA-PBE) of crystalline La2SeN2 at its relaxed geometry.

Cell and atoms, written as POSCAR:
```
La2SeN2
1.0
4.099 0.000 -1.204
-0.437 6.598 -1.487
-0.048 0.292 7.418
La Se N
4 2 4
Direct
0.866 0.147 0.294 La
0.428 0.647 0.294 La
0.134 0.853 0.706 La
0.572 0.353 0.706 La
0.776 0.750 0.000 Se
0.224 0.250 0.000 Se
0.909 0.469 0.554 N
0.355 0.031 0.446 N
0.091 0.531 0.446 N
0.645 0.969 0.554 N
```

Computed properties:
The total magnetization is 0.0000 μB per atom. The calculation puts the total energy at -75.1 eV for the cell shown. The calculation puts the formation energy without anion corrections at -1.516 eV/atom.



The following is a DFT calculation (GGA-PBE) of crystalline AcErAlHg at its relaxed geometry.

Cell and atoms, written as POSCAR:
```
AcErAlHg
1.0
-4.162 3.106 -1.659
-5.109 -1.336 1.356
-2.745 3.032 3.605
Ac Al Hg Er
1 1 1 1
Direct
0.500 0.500 0.500 Ac
0.250 0.250 0.250 Al
0.750 0.750 0.750 Hg
0.000 0.000 0.000 Er
```

Computed properties:
The total magnetization is 0.0003 μB per atom. The calculation puts the density of states at the Fermi level at 4.517 states/eV/f.u. The calculation puts the total energy at -14.0 eV for the cell shown. For the formation energy from the elements, the calculation gives -0.312 eV per atom.



The following is a DFT calculation (GGA-PBE) of crystalline CdFeHg2 at its relaxed geometry.

Cell and atoms, written as POSCAR:
```
CdFeHg2
1.0
-2.215 -2.003 0.172
1.396 -1.346 2.277
-4.355 5.316 5.810
Cd Fe Hg
1 1 2
Direct
0.000 0.000 0.539 Cd
0.500 0.500 0.748 Fe
0.000 0.000 0.958 Hg
0.500 0.500 0.255 Hg
```

Computed properties:
The total magnetization is 0.6149 μB per atom. The calculation puts the density of states at the Fermi level at 2.714 states/eV/f.u. The calculation puts the total energy at -8.8 eV for the cell shown. For the formation energy from the elements, the calculation gives 0.295 eV per atom.



The following is a DFT calculation (GGA-PBE) of crystalline TaTl at its relaxed geometry.

Cell and atoms, written as POSCAR:
```
TaTl
1.0
-5.362 -2.259 -1.992
-3.843 -1.387 -4.597
1.522 -7.049 -1.472
Ta Tl
3 3
Direct
0.314 0.314 0.332 Ta
0.672 0.672 0.652 Ta
0.637 0.637 0.307 Ta
0.997 0.997 0.017 Tl
0.948 0.948 0.584 Tl
0.265 0.265 0.941 Tl
```

Computed properties:
The total magnetization is 0.0000 μB per atom. The calculation puts the density of states at the Fermi level at 1.328 states/eV/f.u. The calculation puts the total energy at -39.4 eV for the cell shown. For the formation energy from the elements, the calculation gives 0.545 eV per atom.



The following is a DFT calculation (GGA-PBE) of crystalline Mg2TiH6 at its relaxed geometry.

Cell and atoms, written as POSCAR:
```
Mg2TiH6
1.0
3.033 0.000 -0.980
-0.675 4.005 -2.089
0.147 0.359 5.635
Mg Ti H
2 1 6
Direct
0.336 0.336 0.673 Mg
0.664 0.664 0.327 Mg
0.000 0.000 0.000 Ti
0.840 0.077 0.680 H
0.160 0.397 0.320 H
0.160 0.923 0.320 H
0.500 0.231 0.000 H
0.840 0.603 0.680 H
0.500 0.769 0.000 H
```

Computed properties:
The total magnetization is 0.0000 μB per atom. The calculation puts the density of states at the Fermi level at 1.328 states/eV/f.u. The calculation puts the total energy at -33.5 eV for the cell shown.



The following is a DFT calculation (GGA-PBE) of crystalline LiFe2Co at its relaxed geometry.

Cell and atoms, written as POSCAR:
```
LiFe2Co
1.0
4.446 -0.067 0.000
-1.536 4.173 0.000
0.000 0.000 2.478
Co Fe Li
1 2 1
Direct
0.000 0.500 0.500 Co
0.000 0.000 0.000 Fe
0.500 0.500 0.000 Fe
0.500 0.000 0.500 Li
```

Computed properties:
The total magnetization is 1.5701 μB per atom. The calculation puts the density of states at the Fermi level at 3.120 states/eV/f.u. The calculation puts the total energy at -25.3 eV for the cell shown. For the formation energy from the elements, the calculation gives 0.157 eV per atom.



The following is a DFT calculation (GGA-PBE) of crystalline TiTl3Se4 at its relaxed geometry.

Cell and atoms, written as POSCAR:
```
TiTl3Se4
1.0
-4.958 0.063 4.304
-4.614 -0.265 -5.311
0.198 -11.373 0.395
Ti Tl Se
2 6 8
Direct
0.982 0.185 0.000 Ti
0.482 0.815 0.500 Ti
0.573 0.758 0.000 Tl
0.062 0.717 0.248 Tl
0.562 0.283 0.252 Tl
0.073 0.242 0.500 Tl
0.562 0.283 0.748 Tl
0.062 0.717 0.752 Tl
0.060 0.848 0.000 Se
0.613 0.200 0.000 Se
0.082 0.295 0.192 Se
0.582 0.705 0.308 Se
0.113 0.800 0.500 Se
0.560 0.152 0.500 Se
0.582 0.705 0.692 Se
0.082 0.295 0.808 Se
```

Computed properties:
The total magnetization is 0.0000 μB per atom. The calculation puts the density of states at the Fermi level at 3.632 states/eV/f.u. The calculation puts the total energy at -67.3 eV for the cell shown. The calculation puts the formation energy without anion corrections at -0.587 eV/atom.



The following is a DFT calculation (GGA-PBE) of crystalline TlIn2H at its relaxed geometry.

Cell and atoms, written as POSCAR:
```
TlIn2H
1.0
-1.721 -4.762 -0.198
-4.843 -0.992 1.113
-3.211 -1.383 -3.668
H Tl In
1 1 2
Direct
0.000 0.000 0.000 H
0.500 0.500 0.500 Tl
0.250 0.250 0.250 In
0.750 0.750 0.750 In
```

Computed properties:
The total magnetization is 0.0000 μB per atom. The calculation puts the density of states at the Fermi level at 1.730 states/eV/f.u. The calculation puts the total energy at -9.4 eV for the cell shown.



The following is a DFT calculation (GGA-PBE) of crystalline TlReCl2 at its relaxed geometry.

Cell and atoms, written as POSCAR:
```
TlReCl2
1.0
3.180 0.000 0.000
0.000 5.783 0.000
0.000 0.000 4.644
Re Tl Cl
1 1 2
Direct
0.500 0.000 0.500 Re
0.000 0.500 0.500 Tl
0.000 0.000 0.000 Cl
0.500 0.500 0.000 Cl
```

Computed properties:
The total magnetization is 0.7400 μB per atom. The calculation puts the density of states at the Fermi level at 2.372 states/eV/f.u. The calculation puts the total energy at -15.5 eV for the cell shown. The calculation puts the formation energy without anion corrections at 0.764 eV/atom.